[1]
! Bi3RhPb, optimized geometry, DFT GGA-PBE; values from VASP
! Energy above the most stable polymorph in this dataset   309 meV per atom
! ΔE_f   243 meV/atom
&SYSTEM
  ibrav = 0, nat = 5, ntyp = 3
/
ATOMIC_SPECIES
Bi 208.98 Bi.upf
Rh 102.91 Rh.upf
Pb 207.20 Pb.upf
ATOMIC_POSITIONS crystal
Bi 0.000 0.000 0.500
Bi 0.000 0.500 0.000
Bi 0.500 0.000 0.000
Rh 0.000 0.000 0.000
Pb 0.500 0.500 0.500
CELL_PARAMETERS angstrom
5.379 0.000 0.000
0.000 5.379 0.000
0.000 0.000 5.379


[2]
! Cd4Hg5, optimized geometry, DFT GGA-PBE; values from VASP
! Energy above the most stable polymorph in this dataset   4 meV per atom
! ΔE_f   42 meV/atom
&SYSTEM
  ibrav = 0, nat = 9, ntyp = 2
/
ATOMIC_SPECIES
Cd 112.41 Cd.upf
Hg 200.59 Hg.upf
ATOMIC_POSITIONS crystal
Cd 0.000 0.335 0.335
Cd 0.000 0.665 0.665
Cd 0.335 0.000 0.335
Cd 0.665 0.000 0.665
Hg 0.000 0.000 0.000
Hg 0.332 0.332 0.664
Hg 0.332 0.668 0.000
Hg 0.668 0.332 0.000
Hg 0.668 0.668 0.336
CELL_PARAMETERS angstrom
-4.882 4.882 2.280
4.882 -4.882 2.280
4.882 4.882 -2.280


[3]
! CaZn, optimized geometry, DFT GGA-PBE; values from VASP
! ΔE_f   219 meV/atom
&SYSTEM
  ibrav = 0, nat = 4, ntyp = 2
/
ATOMIC_SPECIES
Ca 40.08 Ca.upf
Zn 65.41 Zn.upf
ATOMIC_POSITIONS crystal
Ca 0.333 0.667 0.250
Ca 0.667 0.333 0.750
Zn 0.333 0.667 0.750
Zn 0.667 0.333 0.250
CELL_PARAMETERS angstrom
5.184 0.000 0.000
-2.592 4.489 0.000
0.000 0.000 6.167


[4]
! Fe2CoOs, optimized geometry, DFT GGA-PBE; values from VASP
! ΔE_f   181 meV/atom
&SYSTEM
  ibrav = 0, nat = 4, ntyp = 3
/
ATOMIC_SPECIES
Fe 55.84 Fe.upf
Co 58.93 Co.upf
Os 190.23 Os.upf
ATOMIC_POSITIONS crystal
Fe 0.222 0.000 0.255
Fe 0.778 0.000 0.745
Co 0.000 0.500 0.500
Os 0.500 0.500 0.000
CELL_PARAMETERS angstrom
2.544 0.000 0.000
0.000 4.150 0.000
-0.658 0.000 4.726


[5]
! Ti5CdPd8, optimized geometry, DFT GGA-PBE; values from VASP
! ΔE_f   -384 meV/atom
&SYSTEM
  ibrav = 0, nat = 14, ntyp = 3
/
ATOMIC_SPECIES
Ti 47.87 Ti.upf
Cd 112.41 Cd.upf
Pd 106.42 Pd.upf
ATOMIC_POSITIONS crystal
Ti 0.000 0.000 0.000
Ti 0.190 0.267 0.646
Ti 0.456 0.810 0.077
Ti 0.622 0.544 0.354
Ti 0.733 0.378 0.923
Cd 0.250 0.750 0.500
Pd 0.167 0.424 0.054
Pd 0.369 0.113 0.946
Pd 0.424 0.159 0.402
Pd 0.576 0.631 0.744
Pd 0.757 0.023 0.598
Pd 0.841 0.243 0.266
Pd 0.887 0.833 0.256
Pd 0.977 0.576 0.734
CELL_PARAMETERS angstrom
-3.894 3.894 3.872
3.894 -3.894 3.872
3.894 3.894 -3.872


[6]
! RbUCdTe3, optimized geometry, DFT GGA-PBE; values from VASP
! Energy relative to the elements, uncorrected   -0.6838 eV per atom
&SYSTEM
  ibrav = 0, nat = 12, ntyp = 4
/
ATOMIC_SPECIES
Rb 85.47 Rb.upf
U 238.03 U.upf
Cd 112.41 Cd.upf
Te 127.60 Te.upf
ATOMIC_POSITIONS crystal
Rb 0.215 0.250 0.244
Rb 0.785 0.750 0.756
U 0.330 0.750 0.864
U 0.670 0.250 0.136
Cd 0.087 0.250 0.612
Cd 0.913 0.750 0.388
Te 0.108 0.250 0.874
Te 0.226 0.750 0.544
Te 0.465 0.750 0.161
Te 0.535 0.250 0.839
Te 0.774 0.250 0.456
Te 0.892 0.750 0.126
CELL_PARAMETERS angstrom
9.873 0.000 0.000
0.000 4.549 0.000
-3.680 0.000 10.376


[7]
! Na3Pt4Pb4, optimized geometry, DFT GGA-PBE; values from VASP
! ΔE_f   -222 meV/atom
&SYSTEM
  ibrav = 0, nat = 11, ntyp = 3
/
ATOMIC_SPECIES
Na 22.99 Na.upf
Pt 195.08 Pt.upf
Pb 207.20 Pb.upf
ATOMIC_POSITIONS crystal
Na 0.000 0.000 0.000
Na 0.388 0.888 0.500
Na 0.612 0.112 0.500
Pt 0.221 0.221 0.000
Pt 0.342 0.500 0.842
Pt 0.658 0.500 0.158
Pt 0.779 0.779 0.000
Pb 0.031 0.332 0.699
Pb 0.367 0.668 0.699
Pb 0.633 0.332 0.301
Pb 0.969 0.668 0.301
CELL_PARAMETERS angstrom
-2.258 4.111 7.200
2.258 -4.111 7.200
2.258 4.111 -7.200


[8]
! CuH2Pd8, optimized geometry, DFT GGA-PBE; values from VASP
! Energy above the most stable polymorph in this dataset   0 meV per atom
&SYSTEM
  ibrav = 0, nat = 11, ntyp = 3
/
ATOMIC_SPECIES
Cu 63.55 Cu.upf
H 1.01 H.upf
Pd 106.42 Pd.upf
ATOMIC_POSITIONS crystal
Cu 0.000 0.000 0.000
H 0.262 0.262 0.490
H 0.738 0.738 0.510
Pd 0.162 0.660 0.636
Pd 0.197 0.197 0.784
Pd 0.308 0.308 0.217
Pd 0.340 0.838 0.364
Pd 0.660 0.162 0.636
Pd 0.692 0.692 0.783
Pd 0.803 0.803 0.216
Pd 0.838 0.340 0.364
CELL_PARAMETERS angstrom
4.583 -2.754 0.000
4.583 2.754 0.000
-2.344 0.000 6.069


[9]
! ZnOsNO2, optimized geometry, DFT GGA-PBE; values from VASP
! Energy relative to the elements, uncorrected   1.2850 eV per atom
&SYSTEM
  ibrav = 0, nat = 5, ntyp = 4
/
ATOMIC_SPECIES
Zn 65.41 Zn.upf
Os 190.23 Os.upf
N 14.01 N.upf
O 16.00 O.upf
ATOMIC_POSITIONS crystal
Zn 0.000 0.000 0.000
Os 0.500 0.500 0.500
N 0.000 0.000 0.500
O 0.000 0.500 0.000
O 0.500 0.000 0.000
CELL_PARAMETERS angstrom
3.727 0.000 0.000
0.000 3.727 0.000
0.000 0.000 3.882


[10]
! YNi2Os, optimized geometry, DFT GGA-PBE; values from VASP
! Energy above the most stable polymorph in this dataset   249 meV per atom
! ΔE_f   101 meV/atom
&SYSTEM
  ibrav = 0, nat = 8, ntyp = 3
/
ATOMIC_SPECIES
Y 88.91 Y.upf
Ni 58.69 Ni.upf
Os 190.23 Os.upf
ATOMIC_POSITIONS crystal
Y 0.000 0.000 0.000
Y 0.500 0.500 0.000
Ni 0.005 0.500 0.491
Ni 0.236 0.000 0.742
Ni 0.505 0.000 0.491
Ni 0.736 0.500 0.742
Os 0.268 0.500 0.347
Os 0.768 0.000 0.347
CELL_PARAMETERS angstrom
9.021 0.000 0.000
0.000 2.947 0.000
-1.181 0.000 4.687


Number 1: volume 31.1 A^3/atom. Number 2: volume 24.2 A^3/atom. Number 3: volume 35.9 A^3/atom. Number 4: volume 12.5 A^3/atom. Number 5: volume 16.8 A^3/atom. Number 6: volume 38.8 A^3/atom. Number 7: volume 24.3 A^3/atom. Number 8: volume 13.9 A^3/atom. Number 9: volume 10.8 A^3/atom. Number 10: volume 15.6 A^3/atom.